Entry 1
# Nd4HoTm

An optimized crystal structure of Nd4HoTm (GGA-PBE, Alexandria).

```
Nd4HoTm
1.0
-2.9253 11.3023 3.0712
2.9253 -11.3023 3.0712
2.9253 11.3023 -3.0712
Nd Ho Tm
8 2 2
Direct
0.1007 0.4309 0.6698
0.1332 0.0477 0.0855
0.2611 0.4309 0.8302
0.4621 0.0477 0.4145
0.5379 0.9523 0.5855
0.7389 0.5691 0.1698
0.8668 0.9523 0.9145
0.8993 0.5691 0.3302
0.0000 0.5000 0.5000
0.5000 0.5000 0.0000
0.3286 0.0786 0.2500
0.6714 0.9214 0.7500
```

**Magnetization**: 0.000 μB per formula unit
**V**: 33.85 A^3/atom

---

Entry 2
# Nd4HoTm

An optimized crystal structure of Nd4HoTm (GGA-PBE, Alexandria).

```
Nd4HoTm
1.0
11.9963 0.0000 0.0000
0.0000 3.6332 0.0000
-4.3429 0.0000 9.2491
Nd Ho Tm
8 2 2
Direct
0.1653 0.0000 0.3321
0.1650 0.0000 0.8334
0.3350 0.5000 0.1666
0.3347 0.5000 0.6679
0.6653 0.5000 0.3321
0.6650 0.5000 0.8334
0.8350 0.0000 0.1666
0.8347 0.0000 0.6679
0.0000 0.5000 0.5000
0.5000 0.0000 0.5000
0.0000 0.5000 0.0000
0.5000 0.0000 0.0000
```

**Magnetization**: 0.000 μB per formula unit
**V**: 33.59 A^3/atom

---

In terms of stability, entry 2 leads; the second structure lies 0.052 eV/atom higher.

---

Entry 1
# NdHo2Tm

An optimized crystal structure of NdHo2Tm (GGA-PBE, Alexandria).

```
NdHo2Tm
1.0
8.0134 0.0000 0.0000
0.0000 8.0134 0.0000
0.0000 0.0000 8.0134
Nd Ho Tm
4 8 4
Direct
0.0000 0.0000 0.0000
0.0000 0.5000 0.5000
0.5000 0.0000 0.5000
0.5000 0.5000 0.0000
0.2500 0.2500 0.2500
0.2500 0.2500 0.7500
0.2500 0.7500 0.2500
0.2500 0.7500 0.7500
0.7500 0.2500 0.2500
0.7500 0.2500 0.7500
0.7500 0.7500 0.2500
0.7500 0.7500 0.7500
0.0000 0.0000 0.5000
0.0000 0.5000 0.0000
0.5000 0.0000 0.0000
0.5000 0.5000 0.5000
```

**Magnetization**: 0.001 μB per formula unit
**V**: 32.16 A^3/atom

---

Entry 2
# NdHo2Tm

An optimized crystal structure of NdHo2Tm (GGA-PBE, Alexandria).

```
NdHo2Tm
1.0
3.5572 0.0000 0.0000
-1.7786 3.0806 0.0000
0.0000 0.0000 34.7107
Nd Ho Tm
3 6 3
Direct
0.0000 0.0000 0.0000
0.3333 0.6667 0.6667
0.6667 0.3333 0.3333
0.0000 0.0000 0.2482
0.0000 0.0000 0.7518
0.3333 0.6667 0.4185
0.3333 0.6667 0.9149
0.6667 0.3333 0.0851
0.6667 0.3333 0.5815
0.0000 0.0000 0.5000
0.3333 0.6667 0.1667
0.6667 0.3333 0.8333
```

**Magnetization**: 0.000 μB per formula unit
**V**: 31.70 A^3/atom

---

Entry 3
# NdHo2Tm

An optimized crystal structure of NdHo2Tm (GGA-PBE, Alexandria).

```
NdHo2Tm
1.0
3.6348 0.0000 0.0000
0.0000 11.3354 0.0000
0.0000 0.0000 6.2489
Nd Ho Tm
2 4 2
Direct
0.0000 0.0000 0.0000
0.5000 0.5000 0.5000
0.0000 0.2472 0.6620
0.0000 0.7528 0.6620
0.5000 0.2528 0.1620
0.5000 0.7472 0.1620
0.0000 0.5000 0.9957
0.5000 0.0000 0.4957
```

**Magnetization**: 0.000 μB per formula unit
**V**: 32.18 A^3/atom

---

In terms of stability, entry 3 leads; the second structure lies 0.011 eV/atom higher.

---

Entry 1
# NdHo2Tm

An optimized crystal structure of NdHo2Tm (GGA-PBE, Alexandria).

```
NdHo2Tm
1.0
3.5743 0.0000 0.0000
-1.7872 3.0954 0.0000
0.0000 0.0000 34.5042
Nd Ho Tm
3 6 3
Direct
0.0000 0.0000 0.0000
0.3333 0.6667 0.6667
0.6667 0.3333 0.3333
0.0000 0.0000 0.5807
0.0000 0.0000 0.7514
0.3333 0.6667 0.2474
0.3333 0.6667 0.4181
0.6667 0.3333 0.0847
0.6667 0.3333 0.9141
0.0000 0.0000 0.1659
0.3333 0.6667 0.8326
0.6667 0.3333 0.4992
```

**Magnetization**: 0.000 μB per formula unit
**V**: 31.81 A^3/atom

---

Entry 2
# NdHo2Tm

An optimized crystal structure of NdHo2Tm (GGA-PBE, Alexandria).

```
NdHo2Tm
1.0
3.5519 0.0000 0.0000
0.0000 3.5519 0.0000
0.0000 0.0000 10.0747
Nd Ho Tm
1 2 1
Direct
0.0000 0.0000 0.0000
0.5000 0.5000 0.2563
0.5000 0.5000 0.7437
0.0000 0.0000 0.5000
```

**Magnetization**: 0.000 μB per formula unit
**V**: 31.78 A^3/atom

---

In terms of stability, entry 1 leads; the second structure lies 0.005 eV/atom higher.

---

Entry 1
# NdHo5Tm3

An optimized crystal structure of NdHo5Tm3 (GGA-PBE, Alexandria).

```
NdHo5Tm3
1.0
8.3935 -3.9622 0.0000
8.3935 3.9622 0.0000
-7.8764 0.0000 9.1930
Nd Ho Tm
2 10 6
Direct
0.2360 0.2360 0.1324
0.7640 0.7640 0.8676
0.1231 0.1231 0.5664
0.1433 0.7286 0.2204
0.2714 0.8567 0.7796
0.2988 0.2988 0.9283
0.3217 0.6783 0.0000
0.6783 0.3217 0.0000
0.7012 0.7012 0.0717
0.7286 0.1433 0.2204
0.8567 0.2714 0.7796
0.8769 0.8769 0.4336
0.0000 0.0000 0.0000
0.1679 0.1679 0.3378
0.3781 0.3781 0.6818
0.5000 0.5000 0.5000
0.6219 0.6219 0.3182
0.8321 0.8321 0.6622
```

**Magnetization**: 0.000 μB per formula unit
**V**: 33.97 A^3/atom

---

Entry 2
# NdHo5Tm3

An optimized crystal structure of NdHo5Tm3 (GGA-PBE, Alexandria).

```
NdHo5Tm3
1.0
9.0991 -3.1424 0.0000
9.0991 3.1424 0.0000
-4.3013 0.0000 10.3537
Nd Ho Tm
2 10 6
Direct
0.1367 0.8633 0.7500
0.8633 0.1367 0.2500
0.0074 0.6519 0.1293
0.1205 0.5405 0.7902
0.3481 0.9926 0.3707
0.3923 0.6077 0.2500
0.4595 0.8795 0.7098
0.5405 0.1205 0.2902
0.6077 0.3923 0.7500
0.6519 0.0074 0.6293
0.8795 0.4595 0.2098
0.9926 0.3481 0.8707
0.0000 0.0000 0.0000
0.0000 0.0000 0.5000
0.1452 0.5313 0.4863
0.4687 0.8548 0.0137
0.5313 0.1452 0.9863
0.8548 0.4687 0.5137
```

**Magnetization**: 0.000 μB per formula unit
**V**: 32.89 A^3/atom

---

In terms of stability, entry 2 leads; the second structure lies 0.118 eV/atom higher.

---

Entry 1
# Nd4HoTm7

An optimized crystal structure of Nd4HoTm7 (GGA-PBE, Alexandria).

```
Nd4HoTm7
1.0
6.0345 -2.9300 0.0000
6.0345 2.9300 0.0000
-6.0141 0.0000 11.2522
Nd Ho Tm
4 1 7
Direct
0.1404 0.1404 0.2775
0.2833 0.2833 0.8383
0.7167 0.7167 0.1617
0.8596 0.8596 0.7225
0.5000 0.5000 0.5000
0.0000 0.0000 0.5000
0.1320 0.1320 0.9930
0.2881 0.2881 0.5762
0.4290 0.4290 0.1923
0.5710 0.5710 0.8077
0.7119 0.7119 0.4238
0.8680 0.8680 0.0070
```

**Magnetization**: 0.002 μB per formula unit
**V**: 33.16 A^3/atom

---

Entry 2
# Nd4HoTm7

An optimized crystal structure of Nd4HoTm7 (GGA-PBE, Alexandria).

```
Nd4HoTm7
1.0
6.5445 0.0000 0.0000
1.0632 6.7289 0.0000
2.0022 0.6006 8.7503
Nd Ho Tm
4 1 7
Direct
0.1402 0.3072 0.2877
0.3320 0.8857 0.6924
0.6680 0.1143 0.3076
0.8598 0.6928 0.7123
0.5000 0.5000 0.0000
0.0114 0.2529 0.9526
0.1811 0.7966 0.3544
0.3144 0.3952 0.6200
0.5000 0.0000 0.0000
0.6856 0.6048 0.3800
0.8189 0.2034 0.6456
0.9886 0.7471 0.0474
```

**Magnetization**: 0.000 μB per formula unit
**V**: 32.11 A^3/atom

---

In terms of stability, entry 2 leads; the second structure lies 0.185 eV/atom higher.

---

Entry 1
# Nd2Ho3Tm5

An optimized crystal structure of Nd2Ho3Tm5 (GGA-PBE, Alexandria).

```
Nd2Ho3Tm5
1.0
5.2761 -7.8717 0.0000
5.2761 7.8717 0.0000
-5.2761 0.0000 7.7382
Nd Ho Tm
4 6 10
Direct
0.0213 0.2740 0.0469
0.2740 0.0213 0.5469
0.7260 0.9787 0.4531
0.9787 0.7260 0.9531
0.0219 0.9781 0.7500
0.2237 0.4740 0.4491
0.4740 0.2237 0.9491
0.5260 0.7763 0.0509
0.7763 0.5260 0.5509
0.9781 0.0219 0.2500
0.1291 0.3811 0.7539
0.2274 0.7726 0.7500
0.2736 0.7264 0.2500
0.3811 0.1291 0.2539
0.4770 0.5230 0.2500
0.5230 0.4770 0.7500
0.6189 0.8709 0.7461
0.7264 0.2736 0.7500
0.7726 0.2274 0.2500
0.8709 0.6189 0.2461
```

**Magnetization**: 0.000 μB per formula unit
**V**: 32.14 A^3/atom

---

Entry 2
# Nd2Ho3Tm5

An optimized crystal structure of Nd2Ho3Tm5 (GGA-PBE, Alexandria).

```
Nd2Ho3Tm5
1.0
-4.6718 10.8095 3.3604
4.6718 -10.8095 3.3604
4.6718 10.8095 -3.3604
Nd Ho Tm
4 6 10
Direct
0.1258 0.1035 0.2293
0.3742 0.6035 0.9777
0.6258 0.3965 0.0223
0.8742 0.8965 0.7707
0.1266 0.7489 0.8755
0.2500 0.2500 0.0000
0.3734 0.2489 0.6223
0.6266 0.7511 0.3777
0.7500 0.7500 0.0000
0.8734 0.2511 0.1245
0.0022 0.7500 0.2522
0.1243 0.4142 0.5385
0.2500 0.7500 0.5000
0.3757 0.9142 0.2898
0.4978 0.7500 0.7478
0.5022 0.2500 0.2522
0.6243 0.0858 0.7102
0.7500 0.2500 0.5000
0.8757 0.5858 0.4615
0.9978 0.2500 0.7478
```

**Magnetization**: 0.000 μB per formula unit
**V**: 33.94 A^3/atom

---

In terms of stability, entry 1 leads; the second structure lies 0.227 eV/atom higher.

---

Entry 1
# Nd4Ho4Tm

An optimized crystal structure of Nd4Ho4Tm (GGA-PBE, Alexandria).

```
Nd4Ho4Tm
1.0
-5.3926 5.3926 2.5277
5.3926 -5.3926 2.5277
5.3926 5.3926 -2.5277
Nd Ho Tm
4 4 1
Direct
0.1663 0.1663 0.3326
0.1663 0.8337 0.0000
0.8337 0.1663 0.0000
0.8337 0.8337 0.6674
0.1652 0.5000 0.6652
0.5000 0.1652 0.6652
0.5000 0.8348 0.3348
0.8348 0.5000 0.3348
0.5000 0.5000 0.0000
```

**Magnetization**: 0.000 μB per formula unit
**V**: 32.67 A^3/atom

---

Entry 2
# Nd4Ho4Tm

An optimized crystal structure of Nd4Ho4Tm (GGA-PBE, Alexandria).

```
Nd4Ho4Tm
1.0
8.4476 -2.8033 0.0000
8.4476 2.8033 0.0000
-2.7051 0.0000 6.2771
Nd Ho Tm
4 4 1
Direct
0.1327 0.1327 0.4576
0.2806 0.2806 0.2136
0.7194 0.7194 0.7864
0.8673 0.8673 0.5424
0.0714 0.0714 0.8724
0.3784 0.3784 0.8287
0.6216 0.6216 0.1713
0.9286 0.9286 0.1276
0.5000 0.5000 0.5000
```

**Magnetization**: 0.000 μB per formula unit
**V**: 33.03 A^3/atom

---

In terms of stability, entry 1 leads; the second structure lies 0.088 eV/atom higher.

---

Entry 1
# Nd6Ho12Tm

An optimized crystal structure of Nd6Ho12Tm (GGA-PBE, Alexandria).

```
Nd6Ho12Tm
1.0
5.5458 3.2019 5.8466
-5.5458 3.2019 5.8466
0.0000 -6.4038 5.8466
Nd Ho Tm
6 12 1
Direct
0.2673 0.2673 0.6628
0.2673 0.6628 0.2673
0.3372 0.7327 0.7327
0.6628 0.2673 0.2673
0.7327 0.3372 0.7327
0.7327 0.7327 0.3372
0.0134 0.0134 0.6954
0.0135 0.3630 0.3630
0.0134 0.6954 0.0134
0.3046 0.9866 0.9866
0.3630 0.0135 0.3630
0.3630 0.3630 0.0135
0.6370 0.6370 0.9865
0.6370 0.9865 0.6370
0.6954 0.0134 0.0134
0.9866 0.3046 0.9866
0.9865 0.6370 0.6370
0.9866 0.9866 0.3046
0.5000 0.5000 0.5000
```

**Magnetization**: 0.000 μB per formula unit
**V**: 32.78 A^3/atom

---

Entry 2
# Nd6Ho12Tm

An optimized crystal structure of Nd6Ho12Tm (GGA-PBE, Alexandria).

```
Nd6Ho12Tm
1.0
7.6010 4.3885 3.3511
-7.6010 4.3885 3.3511
0.0000 -8.7769 3.3511
Nd Ho Tm
6 12 1
Direct
0.2905 0.6722 0.6722
0.3278 0.3278 0.7095
0.3278 0.7095 0.3278
0.6722 0.2905 0.6722
0.6722 0.6722 0.2905
0.7095 0.3278 0.3278
0.0749 0.3096 0.3096
0.1105 0.5000 0.8895
0.1105 0.8895 0.5000
0.3096 0.0749 0.3096
0.3096 0.3096 0.0749
0.5000 0.1105 0.8895
0.5000 0.8895 0.1105
0.6904 0.6904 0.9251
0.6904 0.9251 0.6904
0.8895 0.1105 0.5000
0.8895 0.5000 0.1105
0.9251 0.6904 0.6904
0.0000 0.0000 0.0000
```

**Magnetization**: 0.002 μB per formula unit
**V**: 35.30 A^3/atom

---

In terms of stability, entry 1 leads; the second structure lies 0.337 eV/atom higher.

---

Entry 1
# Nd6HoTm3

An optimized crystal structure of Nd6HoTm3 (GGA-PBE, Alexandria).

```
Nd6HoTm3
1.0
4.9009 -10.6791 0.0000
4.9009 10.6791 0.0000
0.0000 0.0000 6.4206
Nd Ho Tm
12 2 6
Direct
0.0162 0.9838 0.5000
0.1057 0.5450 0.9890
0.2600 0.3798 0.7388
0.3007 0.6993 0.5127
0.3798 0.2600 0.2388
0.4550 0.8943 0.9890
0.5450 0.1057 0.4890
0.6202 0.7400 0.7388
0.6993 0.3007 0.0127
0.7400 0.6202 0.2388
0.8943 0.4550 0.4890
0.9838 0.0162 0.0000
0.1575 0.8425 0.2953
0.8425 0.1575 0.7953
0.0427 0.2926 0.3186
0.2926 0.0427 0.8186
0.4197 0.5803 0.2191
0.5803 0.4197 0.7191
0.7074 0.9573 0.3186
0.9573 0.7074 0.8186
```

**Magnetization**: 0.000 μB per formula unit
**V**: 33.60 A^3/atom

---

Entry 2
# Nd6HoTm3

An optimized crystal structure of Nd6HoTm3 (GGA-PBE, Alexandria).

```
Nd6HoTm3
1.0
5.4594 -9.6755 0.0000
5.4594 9.6755 0.0000
0.0000 0.0000 6.3530
Nd Ho Tm
12 2 6
Direct
0.0342 0.9658 0.5000
0.0613 0.4857 0.0434
0.2816 0.7184 0.7364
0.2852 0.3722 0.8470
0.3722 0.2852 0.3470
0.4857 0.0613 0.5434
0.5143 0.9387 0.0434
0.6278 0.7148 0.8470
0.7148 0.6278 0.3470
0.7184 0.2816 0.2364
0.9387 0.5143 0.5434
0.9658 0.0342 0.0000
0.1929 0.8071 0.2873
0.8071 0.1929 0.7873
0.0524 0.2802 0.4193
0.2802 0.0524 0.9193
0.3870 0.6130 0.3102
0.6130 0.3870 0.8102
0.7198 0.9476 0.4193
0.9476 0.7198 0.9193
```

**Magnetization**: 0.000 μB per formula unit
**V**: 33.56 A^3/atom

---

In terms of stability, entry 1 leads; the second structure lies 0.015 eV/atom higher.